1.
DFT (PBE) results for a geometry-optimized TcRuPt2 structure.

Calculated values
Crystal system: tetragonal
Energy relative to the elements, eV/atom: -0.006
SG: P4/mmm
Energy above the most stable polymorph in this dataset, meV per atom: 107.6
Calculated volume, Å³/atom: 14.8
Mass density, kg/m3: 16475
Spin magnetization, Bohr magnetons per cell: 0.00

Lattice parameters (Å, degrees): 3.863 3.863 3.981 90.00 90.00 90.00
Atoms (fractional coordinates):
1 Pt 0.000 0.000 0.000
2 Pt 0.500 0.500 0.000
3 Ru 0.500 0.000 0.500
4 Tc 0.000 0.500 0.500


2.
DFT (PBE) results for a geometry-optimized Tc2Ru4Pt3 structure.

Calculated values
Crystal system: monoclinic
Energy relative to the elements, eV/atom: -0.061
SG: C2/m
Calculated volume, Å³/atom: 14.6
Mass density, kg/m3: 14977
Spin magnetization, Bohr magnetons per cell: 0.00

Lattice parameters (Å, degrees): 3.859 6.136 6.158 72.61 71.74 90.00
Atoms (fractional coordinates):
1 Tc 0.774 0.662 0.453
2 Tc 0.226 0.338 0.547
3 Ru 0.327 0.002 0.345
4 Ru 0.879 0.332 0.242
5 Ru 0.121 0.668 0.758
6 Ru 0.673 0.998 0.655
7 Pt 0.557 0.332 0.886
8 Pt 0.000 0.000 0.000
9 Pt 0.443 0.668 0.114


3.
DFT (PBE) results for a geometry-optimized TcRuPt3 structure.

Calculated values
Crystal system: monoclinic
Energy relative to the elements, eV/atom: -0.103
SG: P2_1/m
Energy above the most stable polymorph in this dataset, meV per atom: 0.0
Calculated volume, Å³/atom: 15.0
Mass density, kg/m3: 17327
Spin magnetization, Bohr magnetons per cell: 0.00

Lattice parameters (Å, degrees): 3.891 6.206 6.225 89.74 90.00 90.00
Atoms (fractional coordinates):
1 Tc 0.250 0.262 0.262
2 Tc 0.750 0.738 0.738
3 Ru 0.250 0.460 0.638
4 Ru 0.750 0.540 0.362
5 Pt 0.250 0.051 0.852
6 Pt 0.750 0.949 0.148
7 Pt 0.250 0.847 0.450
8 Pt 0.750 0.153 0.550
9 Pt 0.250 0.644 0.044
10 Pt 0.750 0.356 0.956


4.
DFT (PBE) results for a geometry-optimized TcRuPt2 structure.

Calculated values
Crystal system: tetragonal
Energy relative to the elements, eV/atom: -0.066
SG: I-4m2
Energy above the most stable polymorph in this dataset, meV per atom: 48.3
Calculated volume, Å³/atom: 14.8
Mass density, kg/m3: 16482
Spin magnetization, Bohr magnetons per cell: 0.00

Lattice parameters (Å, degrees): 4.779 4.779 4.779 131.83 131.84 70.50
Atoms (fractional coordinates):
1 Ru 0.500 0.500 0.000
2 Tc 0.750 0.250 0.500
3 Pt 0.000 0.000 0.000
4 Pt 0.250 0.750 0.500


5.
DFT (PBE) results for a geometry-optimized TcRuPt2 structure.

Calculated values
Crystal system: tetragonal
Energy relative to the elements, eV/atom: -0.012
SG: P4/mmm
Energy above the most stable polymorph in this dataset, meV per atom: 101.8
Calculated volume, Å³/atom: 14.9
Mass density, kg/m3: 16464
Spin magnetization, Bohr magnetons per cell: 0.58

Lattice parameters (Å, degrees): 2.733 2.733 7.957 90.00 90.00 90.00
Site moments in Bohr magnetons follow the coordinates.
Atoms (fractional coordinates):
1 Pt 0.000 0.000 0.998  -0.06
2 Pt 0.000 0.000 0.502  -0.06
3 Ru 0.500 0.500 0.250  -0.45
4 Tc 0.500 0.500 0.750  -0.01


6.
DFT (PBE) results for a geometry-optimized TcRuPt2 structure.

Calculated values
Crystal system: trigonal
Energy relative to the elements, eV/atom: 0.025
SG: R-3m
Energy above the most stable polymorph in this dataset, meV per atom: 138.9
Calculated volume, Å³/atom: 14.9
Mass density, kg/m3: 16431
Spin magnetization, Bohr magnetons per cell: 0.00

Lattice parameters (Å, degrees): 9.212 9.212 9.212 17.19 17.19 17.19
Atoms (fractional coordinates):
1 Pt 0.001 0.001 0.001
2 Pt 0.499 0.499 0.499
3 Ru 0.250 0.250 0.250
4 Tc 0.750 0.750 0.750


7.
DFT (PBE) results for a geometry-optimized Tc4RuPt structure.

Calculated values
Crystal system: cubic
Energy relative to the elements, eV/atom: 0.310
SG: F-43m
Energy above the most stable polymorph in this dataset, meV per atom: 233.9
Calculated volume, Å³/atom: 15.3
Mass density, kg/m3: 12444
Spin magnetization, Bohr magnetons per cell: 0.00

Lattice parameters (Å, degrees): 5.064 5.064 5.064 60.00 60.00 60.00
Atoms (fractional coordinates):
1 Tc 0.624 0.624 0.127
2 Tc 0.624 0.127 0.624
3 Tc 0.624 0.624 0.624
4 Tc 0.127 0.624 0.624
5 Ru 0.000 0.000 0.000
6 Pt 0.250 0.250 0.250


8.
DFT (PBE) results for a geometry-optimized Tc2RuPtW structure.

Calculated values
Crystal system: tetragonal
Energy relative to the elements, eV/atom: 2.293
SG: P4/mmm
Calculated volume, Å³/atom: 20.4
Mass density, kg/m3: 10991
Spin magnetization, Bohr magnetons per cell: 0.00

Lattice parameters (Å, degrees): 4.650 4.723 4.650 90.00 90.00 90.00
Atoms (fractional coordinates):
1 Ru 0.500 0.500 0.500
2 W 0.000 0.500 0.000
3 Pt 0.000 0.000 0.000
4 Tc 0.000 0.000 0.500
5 Tc 0.500 0.000 0.000


9.
DFT (PBE) results for a geometry-optimized TcRuPtW structure.

Calculated values
Crystal system: orthorhombic
Energy relative to the elements, eV/atom: -0.179
SG: Pmmm
Calculated volume, Å³/atom: 14.9
Mass density, kg/m3: 16141
Spin magnetization, Bohr magnetons per cell: 0.00

Lattice parameters (Å, degrees): 3.906 3.851 3.952 90.00 90.00 90.00
Atoms (fractional coordinates):
1 Tc 0.000 0.500 0.500
2 Ru 0.500 0.500 0.000
3 Pt 0.000 0.000 0.000
4 W 0.500 0.000 0.500


10.
DFT (PBE) results for a geometry-optimized TcRu6Pt2W2 structure.

Calculated values
Crystal system: monoclinic
Energy relative to the elements, eV/atom: 0.190
SG: C2/m
Calculated volume, Å³/atom: 15.7
Mass density, kg/m3: 14089
Spin magnetization, Bohr magnetons per cell: 0.00

Lattice parameters (Å, degrees): 5.452 5.454 6.769 82.52 90.00 119.99
Atoms (fractional coordinates):
1 Tc 0.500 0.000 0.500
2 Ru 0.238 0.477 0.510
3 Ru 0.644 0.800 0.183
4 Ru 0.843 0.200 0.817
5 Ru 0.356 0.200 0.817
6 Ru 0.157 0.800 0.183
7 Ru 0.762 0.523 0.490
8 Pt 0.857 0.714 0.837
9 Pt 0.143 0.286 0.163
10 W 0.647 0.294 0.137
11 W 0.353 0.706 0.863


11.
DFT (PBE) results for a geometry-optimized Zr2TcRuPt structure.

Calculated values
Crystal system: tetragonal
Energy relative to the elements, eV/atom: 0.612
SG: P4/mmm
Calculated volume, Å³/atom: 22.1
Mass density, kg/m3: 8652
Spin magnetization, Bohr magnetons per cell: 0.00

Lattice parameters (Å, degrees): 4.950 4.517 4.950 90.00 90.00 90.00
Atoms (fractional coordinates):
1 Ru 0.000 0.000 0.000
2 Zr 0.000 0.000 0.500
3 Zr 0.500 0.000 0.000
4 Tc 0.000 0.500 0.000
5 Pt 0.500 0.500 0.500


12.
DFT (PBE) results for a geometry-optimized TeRuPt structure.

Calculated values
Crystal system: orthorhombic
SG: Amm2
Energy above the most stable polymorph in this dataset, meV per atom: 109.8
Energy relative to the elements, uncorrected, kJ/mol of formula units: 73
Calculated volume, Å³/atom: 20.2
Mass density, kg/m3: 11599
Spin magnetization, Bohr magnetons per cell: 0.00

Lattice parameters (Å, degrees): 4.013 3.988 8.771 90.00 90.00 120.21
Atoms (fractional coordinates):
1 Pt 0.611 0.223 0.000
2 Pt 0.277 0.554 0.500
3 Ru 0.612 0.224 0.334
4 Ru 0.612 0.224 0.666
5 Te 0.277 0.555 0.807
6 Te 0.277 0.555 0.193